Dy3Ag | the Alexandria database | GGA-PBE | relaxed; density = 9.1 g/cm³; density of states at the Fermi level = 5.95 states/eV/cell; DFT total energy = -4.15 eV/atom; energy of formation = 0.0161 eV/atom; E above lowest polymorph = 128 meV/atom
1.0
4.776 0.000 0.000
0.000 4.776 0.000
0.000 0.000 4.776
Ag Dy
1 3
Direct
0.000 0.000 0.000
0.000 0.500 0.500
0.500 0.000 0.500
0.500 0.500 0.000